*one*
The following is a GGA-PBE calculation of crystalline Ba3Zn2In3 at its relaxed geometry, from the Alexandria database.

abc: 4.441 6.135 10.304
angles: 82.01 77.51 89.92
Positions (direct):
Ba (0.151, 0.558, 0.697)
Ba (0.000, 0.000, 0.000)
Ba (0.849, 0.442, 0.303)
Zn (0.768, 0.902, 0.465)
Zn (0.232, 0.098, 0.535)
In (0.642, 0.066, 0.714)
In (0.500, 0.500, 0.000)
In (0.358, 0.934, 0.286)

Output
- V: 271 Å³/cell
- Space group: No. 2


*two*
The following is a GGA-PBE calculation of crystalline Ba3Zn2In3 at its relaxed geometry, from the Alexandria database.

abc: 4.658 6.806 17.881
angles: 90.00 90.00 110.01
Positions (direct):
Ba (0.044, 0.089, 0.605)
Ba (0.956, 0.911, 0.105)
Ba (0.662, 0.324, 0.250)
Ba (0.044, 0.089, 0.895)
Ba (0.956, 0.911, 0.395)
Ba (0.338, 0.676, 0.750)
Zn (0.752, 0.503, 0.613)
Zn (0.248, 0.497, 0.113)
Zn (0.248, 0.497, 0.387)
Zn (0.752, 0.503, 0.887)
In (0.672, 0.345, 0.035)
In (0.672, 0.345, 0.465)
In (0.328, 0.655, 0.535)
In (0.372, 0.743, 0.250)
In (0.628, 0.257, 0.750)
In (0.328, 0.655, 0.965)

Output
- V: 533 Å³/cell
- Space group: No. 63


Looking at the structures above, which would you pick as the most stable? I would pick *two*.